[1]
! Ni3AgIr (GGA-PBEsol, relaxed); values from VASP
&SYSTEM
  ibrav = 0, nat = 5, ntyp = 3
/
ATOMIC_SPECIES
Ni 58.69 Ni.upf
Ag 107.87 Ag.upf
Ir 192.22 Ir.upf
CELL_PARAMETERS angstrom
4.4626 0.0000 0.0000
0.0000 4.4626 0.0000
0.0000 0.0000 4.4626
ATOMIC_POSITIONS angstrom
Ni 0.0000 0.0000 2.2313
Ni 0.0000 2.2313 0.0000
Ni 2.2313 0.0000 0.0000
Ag 2.2313 2.2313 2.2313
Ir 0.0000 0.0000 0.0000
! Space group = Pm-3m
! Uncorrected energy = -24.9 eV per formula unit
! Size of the total moment = 2.6 μB/cell
! Energy of formation from the pure elements = 1.34 eV/atom



[2]
! TlNiAg2Ir (GGA-PBEsol, relaxed); values from VASP
&SYSTEM
  ibrav = 0, nat = 5, ntyp = 4
/
ATOMIC_SPECIES
Tl 204.38 Tl.upf
Ni 58.69 Ni.upf
Ag 107.87 Ag.upf
Ir 192.22 Ir.upf
CELL_PARAMETERS angstrom
4.5581 0.0000 0.0000
0.0000 4.5581 0.0000
0.0000 0.0000 4.6520
ATOMIC_POSITIONS angstrom
Tl 0.0000 0.0000 0.0000
Ni 0.0000 0.0000 2.3260
Ag 0.0000 2.2790 2.3260
Ag 2.2790 0.0000 2.3260
Ir 2.2790 2.2790 0.0000
! Space group = P4/mmm
! Uncorrected energy = -18.9 eV per formula unit
! Size of the total moment = 0.0 μB/cell
! Energy of formation from the pure elements = 1.26 eV/atom



[3]
! AgIr3O (GGA-PBEsol, relaxed); values from VASP
&SYSTEM
  ibrav = 0, nat = 5, ntyp = 3
/
ATOMIC_SPECIES
Ag 107.87 Ag.upf
Ir 192.22 Ir.upf
O 16.00 O.upf
CELL_PARAMETERS angstrom
4.7590 0.0000 0.0000
0.0000 4.7590 0.0000
0.0000 0.0000 4.7590
ATOMIC_POSITIONS angstrom
Ag 0.0000 0.0000 0.0000
Ir 0.0000 0.0000 2.3795
Ir 0.0000 2.3795 0.0000
Ir 2.3795 0.0000 0.0000
O 2.3795 2.3795 2.3795
! Space group = Pm-3m
! Raw formation energy = 3.27 eV per atom
! Uncorrected energy = -21.7 eV per formula unit
! Size of the total moment = 5.5 μB/cell



[4]
! Ag2IrOs (GGA-PBEsol, relaxed); values from VASP
&SYSTEM
  ibrav = 0, nat = 4, ntyp = 3
/
ATOMIC_SPECIES
Ag 107.87 Ag.upf
Ir 192.22 Ir.upf
Os 190.23 Os.upf
CELL_PARAMETERS angstrom
2.7589 0.0000 0.0000
0.0000 2.7589 0.0000
0.0000 0.0000 8.0292
ATOMIC_POSITIONS angstrom
Ag 0.0000 0.0000 0.0000
Ag 1.3794 1.3794 2.1135
Ir 0.0000 0.0000 4.2273
Os 1.3794 1.3794 5.9278
! Space group = P4mm
! Uncorrected energy = -27.6 eV per formula unit
! Size of the total moment = 0.0 μB/cell
! Energy of formation from the pure elements = 0.26 eV/atom



[5]
! Ag2IrOs (GGA-PBEsol, relaxed); values from VASP
&SYSTEM
  ibrav = 0, nat = 4, ntyp = 3
/
ATOMIC_SPECIES
Ag 107.87 Ag.upf
Ir 192.22 Ir.upf
Os 190.23 Os.upf
CELL_PARAMETERS angstrom
1.3723 0.7923 9.2670
-1.3723 0.7923 9.2670
0.0000 -1.5846 9.2670
ATOMIC_POSITIONS angstrom
Ag 0.0000 0.0000 0.0000
Ag 0.0000 0.0000 6.8602
Ir 0.0000 0.0000 13.7342
Os 0.0000 0.0000 20.9220
! Space group = R3m
! Uncorrected energy = -27.7 eV per formula unit
! Size of the total moment = 0.0 μB/cell
! Energy of formation from the pure elements = 0.24 eV/atom



[6]
! Ag2IrOs (GGA-PBEsol, relaxed); values from VASP
&SYSTEM
  ibrav = 0, nat = 4, ntyp = 3
/
ATOMIC_SPECIES
Ag 107.87 Ag.upf
Ir 192.22 Ir.upf
Os 190.23 Os.upf
CELL_PARAMETERS angstrom
2.7104 0.0000 0.0000
0.0000 4.6552 0.0000
0.0000 0.0000 4.8588
ATOMIC_POSITIONS angstrom
Ag 0.0000 0.0000 0.0000
Ag 1.3552 2.3276 0.0000
Ir 0.0000 2.3276 2.4294
Os 1.3552 0.0000 2.4294
! Space group = Pmmm
! Uncorrected energy = -26.3 eV per formula unit
! Size of the total moment = 0.0 μB/cell
! Energy of formation from the pure elements = 0.59 eV/atom



[7]
! AgIr2Os (GGA-PBEsol, relaxed); values from VASP
&SYSTEM
  ibrav = 0, nat = 4, ntyp = 3
/
ATOMIC_SPECIES
Ag 107.87 Ag.upf
Ir 192.22 Ir.upf
Os 190.23 Os.upf
CELL_PARAMETERS angstrom
4.5269 -1.3592 0.0000
4.5269 1.3592 0.0000
-0.7886 0.0000 4.7052
ATOMIC_POSITIONS angstrom
Ag 0.0000 0.0000 0.0000
Ir 1.6222 0.0000 3.4804
Ir 6.6430 0.0000 1.2248
Os 4.1326 0.0000 2.3526
! Space group = C2/m
! Uncorrected energy = -33.7 eV per formula unit
! Size of the total moment = 0.0 μB/cell
! Energy of formation from the pure elements = 0.37 eV/atom



[8]
! AgIrOsPt2 (GGA-PBEsol, relaxed); values from VASP
&SYSTEM
  ibrav = 0, nat = 5, ntyp = 4
/
ATOMIC_SPECIES
Ag 107.87 Ag.upf
Ir 192.22 Ir.upf
Os 190.23 Os.upf
Pt 195.08 Pt.upf
CELL_PARAMETERS angstrom
4.6807 0.0000 0.0000
0.0000 4.6807 0.0000
0.0000 0.0000 4.8211
ATOMIC_POSITIONS angstrom
Ag 0.0000 0.0000 0.0000
Ir 0.0000 0.0000 2.4105
Os 2.3404 2.3404 0.0000
Pt 0.0000 2.3404 2.4105
Pt 2.3404 0.0000 2.4105
! Space group = P4/mmm
! Uncorrected energy = -27.7 eV per formula unit
! Size of the total moment = 2.8 μB/cell
! Energy of formation from the pure elements = 2.31 eV/atom